# 1
SrHgCl2 at its PBEsol-relaxed geometry, computed with SCAN.

Output
The calculated volume is 100.21 Å³/cell. The density of states at the Fermi level is 0.000 states/eV per atom. Its energy above the lowest structure with this stoichiometry is 381.3 meV per atom. The uncorrected formation energy is -151.7 kJ per mole of atoms.

abc: 5.214 5.214 5.214
angles: 60.00 60.00 60.00
Positions (direct):
Cl 0.750 0.750 0.750
Cl 0.000 0.000 0.000
Hg 0.500 0.500 0.500
Sr 0.250 0.250 0.250

=====

# 2
ErVO3 at its PBEsol-relaxed geometry, computed with SCAN.

Output
The calculated volume is 214.75 Å³/cell. The density of states at the Fermi level is 0.089 states/eV per atom. The uncorrected formation energy is -324.4 kJ per mole of atoms.

abc: 5.157 5.567 7.481
angles: 90.00 90.00 90.00
Positions (direct):
O 0.689 0.305 0.058
V 0.500 0.000 0.000
O 0.883 0.543 0.750
Er 0.978 0.074 0.250
Er 0.522 0.574 0.250
V 0.500 0.000 0.500
O 0.383 0.957 0.250
O 0.117 0.457 0.250
O 0.617 0.043 0.750
O 0.689 0.305 0.442
O 0.189 0.195 0.942
Er 0.478 0.426 0.750
V 0.000 0.500 0.500
O 0.811 0.805 0.058
Er 0.022 0.926 0.750
O 0.189 0.195 0.558
O 0.811 0.805 0.442
V 0.000 0.500 0.000
O 0.311 0.695 0.942
O 0.311 0.695 0.558

=====

# 3
MgCuP3 at its PBEsol-relaxed geometry, computed with SCAN.

Output
The calculated volume is 90.48 Å³/cell. The density of states at the Fermi level is 0.623 states/eV per atom. The calculation puts the formation energy at 0.6600 eV per atom. Its energy above the lowest structure with this stoichiometry is 0.0 meV per atom.

abc: 4.489 4.489 4.489
angles: 90.00 90.00 90.00
Positions (direct):
Cu 0.000 0.000 0.000
P 0.000 0.000 0.500
P 0.000 0.500 0.000
P 0.500 0.000 0.000
Mg 0.500 0.500 0.500

=====

# 4
Li2NiH8C2O10 at its PBEsol-relaxed geometry, computed with SCAN.

Output
The value obtained for the total energy is -325.38 eV/cell. The calculated volume is 374.01 Å³/cell. The density of states at the Fermi level is 0.000 states/eV per atom.

abc: 5.650 5.846 11.460
angles: 81.14 90.00 90.00
Positions (direct):
Li 0.249 0.904 0.354
O 0.728 0.187 0.919
Li 0.749 0.596 0.146
H 0.695 0.816 0.362
O 0.824 0.706 0.968
H 0.322 0.746 0.008
C 0.652 0.081 0.187
H 0.195 0.684 0.138
O 0.953 0.520 0.787
H 0.903 0.642 0.901
O 0.397 0.720 0.876
H 0.678 0.254 0.992
H 0.097 0.358 0.099
O 0.324 0.794 0.532
Ni 0.500 0.500 0.500
H 0.339 0.261 0.067
O 0.272 0.813 0.081
O 0.228 0.313 0.581
Li 0.251 0.404 0.854
H 0.403 0.858 0.599
O 0.547 0.020 0.287
Li 0.751 0.096 0.646
Ni 0.000 0.000 0.000
O 0.047 0.480 0.213
C 0.848 0.581 0.687
O 0.676 0.206 0.468
O 0.176 0.294 0.032
O 0.803 0.942 0.152
O 0.697 0.442 0.652
C 0.348 0.919 0.813
O 0.197 0.058 0.848
O 0.603 0.280 0.124
O 0.897 0.780 0.624
H 0.161 0.761 0.567
O 0.453 0.980 0.713
O 0.303 0.558 0.348
H 0.661 0.739 0.933
O 0.103 0.220 0.376
C 0.152 0.419 0.313
H 0.822 0.754 0.492
H 0.839 0.239 0.433
H 0.597 0.142 0.401
O 0.772 0.687 0.419
H 0.178 0.246 0.508
H 0.305 0.184 0.638
H 0.805 0.316 0.862

=====

# 5
HgAsPtBr2 at its PBEsol-relaxed geometry, computed with SCAN.

Output
The calculated volume is 141.38 Å³/cell. The density of states at the Fermi level is 0.450 states/eV per atom. The uncorrected formation energy is 113.9 kJ per mole of atoms.

abc: 5.194 5.194 5.241
angles: 90.00 90.00 90.00
Positions (direct):
Br 0.500 0.000 0.000
Pt 0.500 0.500 0.500
Hg 0.000 0.000 0.000
Br 0.000 0.500 0.000
As 0.000 0.000 0.500

=====

# 6
Ag5Se at its PBEsol-relaxed geometry, computed with SCAN.

Output
The calculated volume is 110.18 Å³/cell. The density of states at the Fermi level is 0.646 states/eV per atom. The uncorrected formation energy is 20.4 kJ per mole of atoms.

abc: 5.381 5.381 5.381
angles: 60.00 60.00 60.00
Positions (direct):
Se 0.000 0.000 0.000
Ag 0.250 0.250 0.250
Ag 0.625 0.625 0.625
Ag 0.625 0.625 0.126
Ag 0.625 0.126 0.625
Ag 0.126 0.625 0.625

=====

What did the fifth record say?
HgAsPtBr2 at its PBEsol-relaxed geometry, computed with SCAN.

Output
The calculated volume is 141.38 Å³/cell. The density of states at the Fermi level is 0.450 states/eV per atom. The uncorrected formation energy is 113.9 kJ per mole of atoms.

abc: 5.194 5.194 5.241
angles: 90.00 90.00 90.00
Positions (direct):
Br 0.500 0.000 0.000
Pt 0.500 0.500 0.500
Hg 0.000 0.000 0.000
Br 0.000 0.500 0.000
As 0.000 0.000 0.500

=====

calculated volume of number 1 (SrHgCl2)? 100.21 Å³/cell

=====

Among the records above, which one has the lowest calculated volume? MgCuP3